Arrangement A

## KZrSc (GGA-PBE)

Data for a relaxed KZrSc crystal.

a b c (Å): 6.477 3.283 10.194
angles (deg): 89.13 118.12 89.98
Fractional coordinates of all 6 atoms:
Sc: 0.091 0.673 0.397
Sc: 0.175 0.184 0.162
K: 0.629 0.177 0.762
K: 0.155 0.694 0.798
Zr: 0.671 0.184 0.166
Zr: 0.596 0.674 0.390

Results
Its density of states at the Fermi level is 8.8 states/eV/cell.

---

Arrangement B

## KZrSc (GGA-PBE)

Data for a relaxed KZrSc crystal.

a b c (Å): 4.432 13.408 4.278
angles (deg): 80.74 90.00 109.18
Fractional coordinates of all 6 atoms:
Sc: 0.930 0.685 0.049
Sc: 0.247 0.500 0.142
K: 0.489 0.239 0.271
K: 0.689 0.947 0.916
Zr: 0.759 0.512 0.636
Zr: 0.419 0.673 0.555

Results
Its density of states at the Fermi level is 7.0 states/eV/cell.

---

Which of them is least stable? Easy: arrangement A.